A relaxed structure of Ho3CrAg3O8. Source: Alexandria, functional PBE with a Hubbard U.

## Properties
Its space-group type is C2/m. Its crystal system is monoclinic. As for the volume: 14.60 A^3/atom. Its density of states at the Fermi level is 7.7 states/eV/cell. Its total energy is -6.631 eV/atom.

Lattice parameters (Å, degrees): 6.781 6.781 6.370 114.94 114.94 58.71
Fractional coordinates of all 15 atoms:
Ho1 0.000 0.000 0.000
Ho2 0.000 0.500 0.000
Ho3 0.500 0.000 0.000
Cr1 0.500 0.500 0.000
Ag1 0.000 0.500 0.500
Ag2 0.500 0.000 0.500
Ag3 0.500 0.500 0.500
O1 0.216 0.216 0.193
O2 0.245 0.698 0.191
O3 0.295 0.295 0.803
O4 0.302 0.755 0.809
O5 0.698 0.245 0.191
O6 0.705 0.705 0.197
O7 0.755 0.302 0.809
O8 0.784 0.784 0.807